Record 1
Material: TiRu2Au
Method: DFT, PBE
State: relaxed

Values from the calculation:
Crystal system: cubic
Excess energy over the best structure of this formula in the dataset (meV per atom): 213.4
Space-group type: Fm-3m

a b c (Å): 4.432 4.432 4.432
angles (deg): 60.00 60.00 60.00
Atoms (fractional coordinates):
Ru 0.250 0.250 0.250
Ru 0.750 0.750 0.750
Au 0.500 0.500 0.500
Ti 0.000 0.000 0.000

Record 2
Material: TiRu2Au
Method: DFT, PBE
State: relaxed

Values from the calculation:
Crystal system: tetragonal
Excess energy over the best structure of this formula in the dataset (meV per atom): 536.7
Space-group type: I-42d

a b c (Å): 3.895 3.895 9.396
angles (deg): 78.04 78.04 90.00
Atoms (fractional coordinates):
Ru 0.569 0.125 0.250
Ru 0.181 0.625 0.250
Ru 0.375 0.431 0.750
Ru 0.875 0.819 0.750
Au 0.000 0.000 0.000
Au 0.750 0.250 0.500
Ti 0.500 0.500 0.000
Ti 0.250 0.750 0.500

Record 3
Material: TiRu2Au
Method: DFT, PBE
State: relaxed

Values from the calculation:
Crystal system: tetragonal
Excess energy over the best structure of this formula in the dataset (meV per atom): 0.0
Space-group type: P4/mmm

a b c (Å): 3.859 3.948 3.948
angles (deg): 90.00 90.00 90.00
Atoms (fractional coordinates):
Ru 0.000 0.000 0.500
Ru 0.000 0.500 0.000
Au 0.500 0.500 0.500
Ti 0.500 0.000 0.000

Number 1: energy of formation from the pure elements 0.00 eV/atom. Number 2: energy of formation from the pure elements 0.32 eV/atom. Number 3: energy of formation from the pure elements -0.22 eV/atom.